No. 1
Entry from Alexandria via LeMat-Bulk: an optimized crystal structure of NaCrIn2Cl6 (PBE).

CIF file:
```
data_NaCrIn2Cl6
_chemical_formula_sum 'Na2 Cr2 In4 Cl12'
_symmetry_space_group_name_H-M 'P 1 21/c 1'
_symmetry_Int_Tables_number 14
_symmetry_space_group_name_Hall '-P 2ybc'
_cell_length_a 7.084
_cell_length_b 7.311
_cell_length_c 12.374
_cell_angle_alpha 90.00
_cell_angle_beta 124.61
_cell_angle_gamma 90.00
loop_
_atom_site_label
_atom_site_type_symbol
_atom_site_fract_x
_atom_site_fract_y
_atom_site_fract_z
_atom_site_occupancy
Na1 Na 0.000 0.000 0.000 1
Cr1 Cr 0.500 0.000 0.500 1
In1 In 0.237 0.060 0.750 1
Cl1 Cl 0.198 0.186 0.469 1
Cl2 Cl 0.283 0.733 0.468 1
Cl3 Cl 0.337 0.011 0.272 1
```

***

No. 2
Entry from Alexandria via LeMat-Bulk: an optimized crystal structure of CrIn2NiCl (PBE).

CIF file:
```
data_CrIn2NiCl
_chemical_formula_sum 'Cr1 In2 Ni1 Cl1'
_symmetry_space_group_name_H-M 'P 4/m m m'
_symmetry_Int_Tables_number 123
_symmetry_space_group_name_Hall '-P 4 2'
_cell_length_a 5.027
_cell_length_b 5.027
_cell_length_c 4.681
_cell_angle_alpha 90.00
_cell_angle_beta 90.00
_cell_angle_gamma 90.00
loop_
_atom_site_label
_atom_site_type_symbol
_atom_site_fract_x
_atom_site_fract_y
_atom_site_fract_z
_atom_site_occupancy
Cr1 Cr 0.000 0.000 0.000 1
In1 In 0.000 0.500 0.500 1
Ni1 Ni 0.000 0.000 0.500 1
Cl1 Cl 0.500 0.500 0.000 1
```

***

Number 1: theoretical density 3.26 g/cm3, magnetic moment 3.00 μB/f.u., formation energy (no corrections) -1129.3 meV per atom. Number 2: theoretical density 5.28 g/cm3, magnetic moment 4.37 μB/f.u., formation energy (no corrections) 137.4 meV per atom.